No. 1
VASP calculation (PBE-GGA) on a relaxed UTlGa2Br8 crystal.

Output
- Uncorrected energy: -3.698 eV/atom
- Formation energy from raw total energies: -1089 kJ/mol of formula units

Geometry as CIF:
```
data_UTlGa2Br8
_chemical_formula_sum 'U1 Tl1 Ga2 Br8'
_space_group_name_H-M_alt 'P -1'
_space_group_IT_number 2
_space_group_name_Hall '-P 1'
_cell_length_a 7.015
_cell_length_b 7.466
_cell_length_c 9.392
_cell_angle_alpha 89.79
_cell_angle_beta 89.74
_cell_angle_gamma 89.88
loop_
_atom_site_label
_atom_site_type_symbol
_atom_site_fract_x
_atom_site_fract_y
_atom_site_fract_z
U1 U 0.000 0.000 0.000
Tl1 Tl 0.000 0.000 0.500
Ga1 Ga 0.499 0.500 0.717
Br1 Br 0.214 0.703 0.001
Br2 Br 0.227 0.143 0.204
Br3 Br 0.228 0.142 0.794
Br4 Br 0.282 0.650 0.500
```

No. 2
VASP calculation (PBE-GGA) on a relaxed Pu2BiO7 crystal.

Output
- Uncorrected energy: -8.931 eV/atom
- Formation energy from raw total energies: -2128 kJ/mol of formula units

Geometry as CIF:
```
data_Pu2BiO7
_chemical_formula_sum 'Pu6 Bi3 O21'
_space_group_name_H-M_alt 'R -3 m'
_space_group_IT_number 166
_space_group_name_Hall '-R 3 2"'
_cell_length_a 3.8369
_cell_length_b 3.8369
_cell_length_c 31.2798
_cell_angle_alpha 90.00
_cell_angle_beta 90.00
_cell_angle_gamma 120.00
loop_
_atom_site_label
_atom_site_type_symbol
_atom_site_fract_x
_atom_site_fract_y
_atom_site_fract_z
Pu1 Pu 0.0000 0.0000 0.0658
Bi1 Bi 0.0000 0.0000 0.5000
O1 O 0.0000 0.0000 0.0000
O2 O 0.0000 0.0000 0.1356
O3 O 0.0000 0.0000 0.2811
O4 O 0.0000 0.0000 0.4206
```